LiErCoCl6: optimized geometry, PBE-GGA.

a = 6.4235 Å, b = 6.4235 Å, c = 11.8512 Å
α = 90.00°, β = 90.00°, γ = 120.00°
Closest atoms and distances in Å follow each position.
Sites, in units of the cell vectors:
Li (0.0000, 0.0000, 0.0000)  6 Cl 2.70
Li (0.0000, 0.0000, 0.5000)  6 Cl 2.70
Er (0.3333, 0.6667, 0.2500)  6 Cl 2.62
Er (0.6667, 0.3333, 0.7500)  6 Cl 2.62
Co (0.3333, 0.6667, 0.7500)  6 Cl 2.46
Co (0.6667, 0.3333, 0.2500)  6 Cl 2.46
Cl (0.0196, 0.3537, 0.6300)  1 Co 2.46, 1 Er 2.62, 1 Li 2.70
Cl (0.0196, 0.6660, 0.8700)  1 Co 2.46, 1 Er 2.62, 1 Li 2.70
Cl (0.3340, 0.3537, 0.8700)  1 Co 2.46, 1 Er 2.62, 1 Li 2.70
Cl (0.3340, 0.9804, 0.6300)  1 Co 2.46, 1 Er 2.62, 1 Li 2.70
Cl (0.3537, 0.0196, 0.1300)  1 Co 2.46, 1 Er 2.62, 1 Li 2.70
Cl (0.3537, 0.3340, 0.3700)  1 Co 2.46, 1 Er 2.62, 1 Li 2.70
Cl (0.6463, 0.6660, 0.6300)  1 Co 2.46, 1 Er 2.62, 1 Li 2.70
Cl (0.6463, 0.9804, 0.8700)  1 Co 2.46, 1 Er 2.62, 1 Li 2.70
Cl (0.6660, 0.0196, 0.3700)  1 Co 2.46, 1 Er 2.62, 1 Li 2.70
Cl (0.6660, 0.6463, 0.1300)  1 Co 2.46, 1 Er 2.62, 1 Li 2.70
Cl (0.9804, 0.3340, 0.1300)  1 Co 2.46, 1 Er 2.62, 1 Li 2.70
Cl (0.9804, 0.6463, 0.3700)  1 Co 2.46, 1 Er 2.62, 1 Li 2.70

- energy relative to the elements, uncorrected (eV/atom) = -1.555
- calculated volume (Å³/f.u.) = 212
- magnetic moment (Bohr magnetons per cell) = 6.0